# PBE Ta2ReAu, relaxed
data_Ta2ReAu
_cell_length_a 4.6059
_cell_length_b 4.6059
_cell_length_c 4.6059
_cell_angle_alpha 60.00
_cell_angle_beta 60.00
_cell_angle_gamma 60.00
_symmetry_space_group_name_H-M 'P 1'
_symmetry_Int_Tables_number 1
_symmetry_space_group_name_Hall 'P 1'
loop_
_atom_site_label
_atom_site_fract_x
_atom_site_fract_y
_atom_site_fract_z
Re1 0.0000 0.0000 0.0000
Au1 0.5000 0.5000 0.5000
Ta1 0.2500 0.2500 0.2500
Ta2 0.7500 0.7500 0.7500
# Offset from the most stable computed form = 13.74 kJ/mol of atoms
# Electronic total energy = -39.287 eV per cell
# SG = No. 225
# Theoretical density = 17.9 g cm⁻³



# PBE TaRe3Au, relaxed
data_TaRe3Au
_cell_length_a 4.7312
_cell_length_b 4.7312
_cell_length_c 4.7312
_cell_angle_alpha 90.00
_cell_angle_beta 90.00
_cell_angle_gamma 90.00
_symmetry_space_group_name_H-M 'P 1'
_symmetry_Int_Tables_number 1
_symmetry_space_group_name_Hall 'P 1'
loop_
_atom_site_label
_atom_site_fract_x
_atom_site_fract_y
_atom_site_fract_z
Re1 0.0000 0.5000 0.0000
Re2 0.0000 0.0000 0.5000
Re3 0.5000 0.0000 0.0000
Au1 0.0000 0.0000 0.0000
Ta1 0.5000 0.5000 0.5000
# Offset from the most stable computed form = 44.89 kJ/mol of atoms
# Electronic total energy = -38.284 eV per cell
# SG = No. 221
# Theoretical density = 14.7 g cm⁻³



# PBE Ta3ReAu, relaxed
data_Ta3ReAu
_cell_length_a 4.8380
_cell_length_b 4.8380
_cell_length_c 4.8380
_cell_angle_alpha 90.00
_cell_angle_beta 90.00
_cell_angle_gamma 90.00
_symmetry_space_group_name_H-M 'P 1'
_symmetry_Int_Tables_number 1
_symmetry_space_group_name_Hall 'P 1'
loop_
_atom_site_label
_atom_site_fract_x
_atom_site_fract_y
_atom_site_fract_z
Re1 0.5000 0.5000 0.5000
Au1 0.0000 0.0000 0.0000
Ta1 0.0000 0.5000 0.0000
Ta2 0.0000 0.0000 0.5000
Ta3 0.5000 0.0000 0.0000
# Offset from the most stable computed form = 90.30 kJ/mol of atoms
# Electronic total energy = -40.376 eV per cell
# SG = No. 221
# Theoretical density = 13.6 g cm⁻³



# PBE Ta2ReAu, relaxed
data_Ta2ReAu
_cell_length_a 4.5901
_cell_length_b 4.5901
_cell_length_c 4.5901
_cell_angle_alpha 60.00
_cell_angle_beta 60.00
_cell_angle_gamma 60.00
_symmetry_space_group_name_H-M 'P 1'
_symmetry_Int_Tables_number 1
_symmetry_space_group_name_Hall 'P 1'
loop_
_atom_site_label
_atom_site_fract_x
_atom_site_fract_y
_atom_site_fract_z
Au1 0.5000 0.5000 0.5000
Re1 0.7500 0.7500 0.7500
Ta1 0.0000 0.0000 0.0000
Ta2 0.2500 0.2500 0.2500
# Offset from the most stable computed form = 30.51 kJ/mol of atoms
# Electronic total energy = -38.592 eV per cell
# SG = No. 216
# Theoretical density = 18.1 g cm⁻³



# PBE TaReAu, relaxed
data_TaReAu
_cell_length_a 7.1178
_cell_length_b 6.9615
_cell_length_c 2.8000
_cell_angle_alpha 81.68
_cell_angle_beta 75.41
_cell_angle_gamma 22.91
_symmetry_space_group_name_H-M 'P 1'
_symmetry_Int_Tables_number 1
_symmetry_space_group_name_Hall 'P 1'
loop_
_atom_site_label
_atom_site_fract_x
_atom_site_fract_y
_atom_site_fract_z
Au1 0.9986 0.9986 0.0014
Re1 0.6732 0.6732 0.3268
Ta1 0.3282 0.3282 0.6718
# Offset from the most stable computed form = 1.77 kJ/mol of atoms
# Electronic total energy = -27.136 eV per cell
# SG = No. 42
# Theoretical density = 18.4 g cm⁻³



# PBE Ta2ReAu, relaxed
data_Ta2ReAu
_cell_length_a 10.0240
_cell_length_b 10.0240
_cell_length_c 10.0240
_cell_angle_alpha 16.32
_cell_angle_beta 16.32
_cell_angle_gamma 16.32
_symmetry_space_group_name_H-M 'P 1'
_symmetry_Int_Tables_number 1
_symmetry_space_group_name_Hall 'P 1'
loop_
_atom_site_label
_atom_site_fract_x
_atom_site_fract_y
_atom_site_fract_z
Au1 0.4986 0.4986 0.4986
Re1 0.7506 0.7506 0.7506
Ta1 0.0026 0.0026 0.0026
Ta2 0.2482 0.2482 0.2482
# Offset from the most stable computed form = 37.29 kJ/mol of atoms
# Electronic total energy = -38.311 eV per cell
# SG = No. 160
# Theoretical density = 17.8 g cm⁻³



# PBE TaRe3Au, relaxed
data_TaRe3Au
_cell_length_a 4.7440
_cell_length_b 4.7440
_cell_length_c 4.7440
_cell_angle_alpha 90.00
_cell_angle_beta 90.00
_cell_angle_gamma 90.00
_symmetry_space_group_name_H-M 'P 1'
_symmetry_Int_Tables_number 1
_symmetry_space_group_name_Hall 'P 1'
loop_
_atom_site_label
_atom_site_fract_x
_atom_site_fract_y
_atom_site_fract_z
Re1 0.0000 0.5000 0.0000
Re2 0.0000 0.0000 0.5000
Re3 0.5000 0.0000 0.0000
Au1 0.5000 0.5000 0.5000
Ta1 0.0000 0.0000 0.0000
# Offset from the most stable computed form = 0.00 kJ/mol of atoms
# Electronic total energy = -40.611 eV per cell
# SG = No. 221
# Theoretical density = 14.6 g cm⁻³



# PBE Ta2ReAu, relaxed
data_Ta2ReAu
_cell_length_a 7.3169
_cell_length_b 7.3169
_cell_length_c 5.8845
_cell_angle_alpha 51.56
_cell_angle_beta 51.56
_cell_angle_gamma 90.00
_symmetry_space_group_name_H-M 'P 1'
_symmetry_Int_Tables_number 1
_symmetry_space_group_name_Hall 'P 1'
loop_
_atom_site_label
_atom_site_fract_x
_atom_site_fract_y
_atom_site_fract_z
Re1 0.5000 0.5000 0.0000
Re2 0.2500 0.7500 0.5000
Au1 0.0000 0.0000 0.0000
Au2 0.7500 0.2500 0.5000
Ta1 0.6036 0.1250 0.2500
Ta2 0.1464 0.6250 0.2500
Ta3 0.3750 0.3964 0.7500
Ta4 0.8750 0.8536 0.7500
# Offset from the most stable computed form = 63.33 kJ/mol of atoms
# Electronic total energy = -74.462 eV per cell
# SG = No. 122
# Theoretical density = 16.5 g cm⁻³



The calculation returns the following E_form values, one per record and in order: 0.0360; 2.8380; 2.1815; 0.2097; 0.1472; 0.2800; 2.3727; 0.5500 eV/atom.
The calculation returns the following DOS(E_F) values, one per record and in order: 0.9; 9.5; 7.7; 2.6; 2.0; 5.7; 6.8; 7.7 states/eV per cell.